Record 1
Density functional theory data (GGA-PBE) for a relaxed Li2HgSbSe4 crystal.

abc: 8.099 8.099 8.077
angles: 120.66 120.66 90.68
Fractional positions:
Li (0.500, 0.000, 0.500)
Li (0.500, 0.500, 0.000)
Li (0.000, 0.000, 0.500)
Li (0.500, 0.000, 0.000)
Se (0.254, 0.748, 0.472)
Se (0.248, 0.754, 0.972)
Se (0.728, 0.765, 0.494)
Se (0.272, 0.235, 0.506)
Se (0.752, 0.246, 0.028)
Se (0.735, 0.772, 0.006)
Se (0.265, 0.228, 0.994)
Se (0.746, 0.252, 0.528)
Sb (0.000, 0.000, 0.000)
Sb (0.500, 0.500, 0.500)
Hg (0.000, 0.500, 0.500)
Hg (0.000, 0.500, 0.000)

Computed properties:
Its calculated volume is 22.79 A^3/atom. The value obtained for the calculated total energy is -52.653 eV/cell. The calculation puts the formation energy from raw total energies at -0.5170 eV/atom. The calculation puts the density of states at the Fermi level at 7.4 states/eV/cell.


Record 2
Density functional theory data (GGA-PBE) for a relaxed Zr2OsPtBr crystal.

abc: 5.108 4.861 5.108
angles: 90.00 90.00 90.00
Last column: magnetic moment on the atom in μB.
Fractional positions:
Pt (0.000, 0.000, 0.000)  -0.01
Br (0.000, 0.500, 0.000)  0.06
Os (0.500, 0.500, 0.500)  1.70
Zr (0.500, 0.000, 0.000)  -0.36
Zr (0.000, 0.000, 0.500)  -0.27

Computed properties:
Its calculated volume is 25.37 A^3/atom. The value obtained for the calculated total energy is -30.165 eV/cell. The calculation puts the formation energy from raw total energies at 1.1750 eV/atom. The calculation puts the density of states at the Fermi level at 5.6 states/eV/cell.


Record 3
Density functional theory data (GGA-PBE) for a relaxed NaAc3Se4O12 crystal.

abc: 8.021 8.021 8.021
angles: 106.17 106.17 106.17
Last column: magnetic moment on the atom in μB.
Fractional positions:
O (0.800, 0.066, 0.624)  -0.02
O (0.624, 0.800, 0.066)  -0.02
O (0.200, 0.376, 0.934)  -0.02
O (0.352, 0.648, 0.500)  0.08
O (0.648, 0.500, 0.352)  0.08
O (0.500, 0.352, 0.648)  0.08
O (0.879, 0.500, 0.121)  -0.02
O (0.376, 0.934, 0.200)  -0.02
O (0.121, 0.879, 0.500)  -0.02
O (0.500, 0.121, 0.879)  -0.02
O (0.066, 0.624, 0.800)  -0.02
O (0.934, 0.200, 0.376)  -0.02
Se (0.500, 0.500, 0.500)  0.25
Se (0.946, 0.054, 0.500)  -0.07
Se (0.054, 0.500, 0.946)  -0.07
Se (0.500, 0.946, 0.054)  -0.07
Ac (0.000, 0.555, 0.445)  0.00
Ac (0.445, 0.000, 0.555)  0.00
Ac (0.555, 0.445, 0.000)  0.00
Na (0.000, 0.000, 0.000)  0.00

Computed properties:
Its calculated volume is 21.96 A^3/atom. The value obtained for the calculated total energy is -117.651 eV/cell. The calculation puts the formation energy from raw total energies at -1.5285 eV/atom. The calculation puts the density of states at the Fermi level at 8.0 states/eV/cell.


Record 4
Density functional theory data (GGA-PBE) for a relaxed Tm12Sn6Pd crystal.

abc: 8.543 8.543 8.543
angles: 99.85 99.85 99.85
Fractional positions:
Tm (0.196, 0.422, 0.556)
Tm (0.977, 0.316, 0.057)
Tm (0.556, 0.196, 0.422)
Tm (0.057, 0.977, 0.316)
Tm (0.684, 0.943, 0.023)
Tm (0.422, 0.556, 0.196)
Tm (0.316, 0.057, 0.977)
Tm (0.943, 0.023, 0.684)
Tm (0.023, 0.684, 0.943)
Tm (0.578, 0.444, 0.804)
Tm (0.804, 0.578, 0.444)
Tm (0.444, 0.804, 0.578)
Sn (0.122, 0.636, 0.312)
Sn (0.364, 0.688, 0.878)
Sn (0.636, 0.312, 0.122)
Sn (0.688, 0.878, 0.364)
Sn (0.878, 0.364, 0.688)
Sn (0.312, 0.122, 0.636)
Pd (0.000, 0.000, 0.000)

Computed properties:
Its calculated volume is 31.17 A^3/atom. The value obtained for the calculated total energy is -90.115 eV/cell. The calculation puts the density of states at the Fermi level at 16.3 states/eV/cell.


Record 5
Density functional theory data (GGA-PBE) for a relaxed PuCoH3 crystal.

abc: 3.533 3.533 3.533
angles: 90.00 90.00 90.00
Last column: magnetic moment on the atom in μB.
Fractional positions:
Pu (0.500, 0.500, 0.500)  5.31
Co (0.000, 0.000, 0.000)  -0.30
H (0.500, 0.000, 0.000)  -0.01
H (0.000, 0.500, 0.000)  -0.01
H (0.000, 0.000, 0.500)  -0.01

Computed properties:
Its calculated volume is 8.82 A^3/atom. The value obtained for the calculated total energy is -32.906 eV/cell. The calculation puts the density of states at the Fermi level at 9.9 states/eV/cell.


Record 6
Density functional theory data (GGA-PBE) for a relaxed CoAg2Mo crystal.

abc: 4.701 4.701 5.187
angles: 81.78 81.78 33.37
Last column: magnetic moment on the atom in μB.
Fractional positions:
Ag (0.756, 0.756, 0.756)  0.00
Ag (0.000, 0.000, 0.997)  0.00
Co (0.500, 0.500, 0.462)  1.10
Mo (0.243, 0.243, 0.285)  -0.01

Computed properties:
Its calculated volume is 15.59 A^3/atom. The value obtained for the calculated total energy is -21.594 eV/cell. The calculation puts the excess energy over the best structure of this formula in the dataset at 232.4 meV per atom. The calculation puts the density of states at the Fermi level at 3.8 states/eV/cell.


Record 7
Density functional theory data (GGA-PBE) for a relaxed LuPuScTl crystal.

abc: 5.249 5.249 5.249
angles: 60.00 60.00 60.00
Last column: magnetic moment on the atom in μB.
Fractional positions:
Tl (0.500, 0.500, 0.500)  -0.05
Pu (0.000, 0.000, 0.000)  5.93
Lu (0.250, 0.250, 0.250)  0.54
Sc (0.750, 0.750, 0.750)  0.63

Computed properties:
Its calculated volume is 25.56 A^3/atom. The value obtained for the calculated total energy is -27.341 eV/cell. The calculation puts the density of states at the Fermi level at 11.9 states/eV/cell.


Record 8
Density functional theory data (GGA-PBE) for a relaxed NaScSi crystal.

abc: 4.894 4.895 5.731
angles: 90.00 90.00 60.00
Fractional positions:
Si (0.735, 0.333, 0.556)
Si (0.402, 0.999, 0.056)
Na (0.068, 0.666, 0.306)
Na (0.068, 0.666, 0.806)
Sc (0.401, 0.999, 0.556)
Sc (0.735, 0.332, 0.056)

Computed properties:
Its calculated volume is 19.82 A^3/atom. The value obtained for the calculated total energy is -27.937 eV/cell. The calculation puts the formation energy from raw total energies at -0.2984 eV/atom. The calculation puts the density of states at the Fermi level at 0.7 states/eV/cell.


Record 9
Density functional theory data (GGA-PBE) for a relaxed P2Au crystal.

abc: 3.973 3.973 10.466
angles: 90.00 90.00 120.00
Fractional positions:
P (0.333, 0.667, 0.646)
P (0.667, 0.333, 0.354)
P (0.333, 0.667, 0.854)
P (0.667, 0.333, 0.146)
Au (0.000, 0.000, 0.250)
Au (0.000, 0.000, 0.750)

Computed properties:
Its calculated volume is 23.85 A^3/atom. The value obtained for the calculated total energy is -26.183 eV/cell. The calculation puts the density of states at the Fermi level at 2.4 states/eV/cell.


Record 10
Density functional theory data (GGA-PBE) for a relaxed YAgO3 crystal.

abc: 4.363 4.363 4.363
angles: 90.00 90.00 90.00
Last column: magnetic moment on the atom in μB.
Fractional positions:
Ag (0.500, 0.500, 0.500)  -0.07
O (0.500, 0.000, 0.000)  -0.45
O (0.000, 0.000, 0.500)  -0.60
O (0.000, 0.500, 0.000)  -0.63
Y (0.000, 0.000, 0.000)  0.05

Computed properties:
Its calculated volume is 16.61 A^3/atom. The value obtained for the calculated total energy is -29.723 eV/cell. The calculation puts the formation energy from raw total energies at -1.1066 eV/atom. The calculation puts the density of states at the Fermi level at 5.8 states/eV/cell.


Record 11
Density functional theory data (GGA-PBE) for a relaxed CrAg2MoOs crystal.

abc: 4.793 4.328 4.793
angles: 90.00 90.00 90.00
Last column: magnetic moment on the atom in μB.
Fractional positions:
Mo (0.500, 0.500, 0.500)  2.92
Ag (0.000, 0.000, 0.500)  -0.01
Ag (0.500, 0.000, 0.000)  0.04
Cr (0.000, 0.000, 0.000)  0.60
Os (0.000, 0.500, 0.000)  -0.33

Computed properties:
Its calculated volume is 19.89 A^3/atom. The value obtained for the calculated total energy is -28.240 eV/cell. The calculation puts the density of states at the Fermi level at 7.7 states/eV/cell.


Record 12
Density functional theory data (GGA-PBE) for a relaxed GaAgB2F crystal.

abc: 4.186 4.115 4.186
angles: 90.00 90.00 90.00
Fractional positions:
Ga (0.000, 0.000, 0.000)
B (0.000, 0.000, 0.500)
B (0.500, 0.000, 0.000)
Ag (0.500, 0.500, 0.500)
F (0.000, 0.500, 0.000)

Computed properties:
Its calculated volume is 14.43 A^3/atom. The value obtained for the calculated total energy is -17.405 eV/cell. The calculation puts the formation energy from raw total energies at 0.7399 eV/atom. The calculation puts the density of states at the Fermi level at 1.9 states/eV/cell.


Record 13
Density functional theory data (GGA-PBE) for a relaxed LiCuMo2 crystal.

abc: 2.548 4.100 5.567
angles: 90.00 90.00 90.00
Fractional positions:
Li (0.500, 0.500, 0.734)
Cu (0.000, 0.000, 0.513)
Mo (0.000, 0.000, 0.002)
Mo (0.500, 0.500, 0.251)

Computed properties:
Its calculated volume is 14.54 A^3/atom. The value obtained for the calculated total energy is -26.373 eV/cell. The calculation puts the excess energy over the best structure of this formula in the dataset at 149.3 meV per atom. The calculation puts the density of states at the Fermi level at 2.6 states/eV/cell.


Record 14
Density functional theory data (GGA-PBE) for a relaxed Ce2Ga2Si4Rh crystal.

abc: 6.128 6.128 6.128
angles: 89.41 120.34 120.34
Fractional positions:
Ga (0.000, 0.711, 0.711)
Ga (0.000, 0.289, 0.289)
Si (0.000, 0.284, 0.716)
Si (0.432, 0.716, 0.716)
Si (0.000, 0.716, 0.284)
Si (0.568, 0.284, 0.284)
Ce (0.500, 0.750, 0.250)
Ce (0.500, 0.250, 0.750)
Rh (0.000, 0.000, 0.000)

Computed properties:
Its calculated volume is 17.98 A^3/atom. The value obtained for the calculated total energy is -52.472 eV/cell. The calculation puts the formation energy from raw total energies at -0.6119 eV/atom. The calculation puts the density of states at the Fermi level at 11.4 states/eV/cell.


Record 15
Density functional theory data (GGA-PBE) for a relaxed CsKCuHg2 crystal.

abc: 6.489 8.472 6.489
angles: 90.00 90.00 90.00
Fractional positions:
K (0.000, 0.000, 0.000)
Hg (0.500, 0.000, 0.000)
Hg (0.000, 0.000, 0.500)
Cu (0.500, 0.500, 0.500)
Cs (0.000, 0.500, 0.000)

Computed properties:
Its calculated volume is 71.35 A^3/atom. The value obtained for the calculated total energy is -4.268 eV/cell. The calculation puts the excess energy over the best structure of this formula in the dataset at 463.5 meV per atom. The calculation puts the density of states at the Fermi level at 3.3 states/eV/cell.


Record 16
Density functional theory data (GGA-PBE) for a relaxed Sr2CaGaN crystal.

abc: 5.308 5.308 4.807
angles: 90.00 90.00 90.00
Last column: magnetic moment on the atom in μB.
Fractional positions:
N (0.000, 0.000, 0.000)  0.01
Sr (0.500, 0.000, 0.000)  0.03
Sr (0.000, 0.500, 0.000)  0.03
Ca (0.000, 0.000, 0.500)  0.02
Ga (0.500, 0.500, 0.500)  0.12

Computed properties:
Its calculated volume is 27.09 A^3/atom. The value obtained for the calculated total energy is -19.052 eV/cell. The calculation puts the formation energy from raw total energies at -0.4669 eV/atom. The calculation puts the density of states at the Fermi level at 4.4 states/eV/cell.


Record 17
Density functional theory data (GGA-PBE) for a relaxed ZrAs2Ir crystal.

abc: 5.630 5.190 3.007
angles: 77.31 82.58 120.34
Fractional positions:
Zr (0.500, 0.500, 0.000)
As (0.500, 0.000, 0.500)
As (0.000, 0.000, 0.000)
Ir (0.000, 0.500, 0.500)

Computed properties:
Its calculated volume is 17.73 A^3/atom. The value obtained for the calculated total energy is -27.390 eV/cell. The calculation puts the excess energy over the best structure of this formula in the dataset at 393.1 meV per atom. The calculation puts the density of states at the Fermi level at 2.8 states/eV/cell.


Record 18
Density functional theory data (GGA-PBE) for a relaxed NaMnCrCl6 crystal.

abc: 6.363 6.363 12.402
angles: 90.00 90.00 120.00
Last column: magnetic moment on the atom in μB.
Fractional positions:
Cl (0.354, 0.373, 0.860)  0.02
Cl (0.020, 0.373, 0.640)  0.02
Cl (0.020, 0.646, 0.860)  0.02
Cl (0.627, 0.980, 0.860)  0.02
Cl (0.646, 0.627, 0.140)  0.02
Cl (0.354, 0.980, 0.640)  0.02
Cl (0.646, 0.020, 0.360)  0.02
Cl (0.373, 0.020, 0.140)  0.02
Cl (0.980, 0.627, 0.360)  0.02
Cl (0.373, 0.354, 0.360)  0.02
Cl (0.627, 0.646, 0.640)  0.02
Cl (0.980, 0.354, 0.140)  0.02
Mn (0.667, 0.333, 0.750)  4.43
Mn (0.333, 0.667, 0.250)  4.43
Na (0.000, 0.000, 0.500)  0.00
Na (0.000, 0.000, 0.000)  0.00
Cr (0.333, 0.667, 0.750)  2.88
Cr (0.667, 0.333, 0.250)  2.88

Computed properties:
Its calculated volume is 24.16 A^3/atom. The value obtained for the calculated total energy is -85.008 eV/cell. The calculation puts the formation energy from raw total energies at -1.2569 eV/atom.


Record 19
Density functional theory data (GGA-PBE) for a relaxed Mg2SF crystal.

abc: 5.296 5.296 6.704
angles: 66.74 66.74 90.00
Fractional positions:
F (0.500, 0.500, 0.000)
F (0.250, 0.750, 0.500)
Mg (0.875, 0.831, 0.750)
Mg (0.581, 0.125, 0.250)
Mg (0.375, 0.419, 0.750)
Mg (0.169, 0.625, 0.250)
S (0.750, 0.250, 0.500)
S (0.000, 0.000, 0.000)

Computed properties:
Its calculated volume is 19.49 A^3/atom. The value obtained for the calculated total energy is -31.358 eV/cell. The calculation puts the formation energy from raw total energies at -1.6228 eV/atom. The calculation puts the excess energy over the best structure of this formula in the dataset at 0.0 meV per atom. The calculation puts the density of states at the Fermi level at 3.2 states/eV/cell.


Record 20
Density functional theory data (GGA-PBE) for a relaxed Cs2Ba3PaO6 crystal.

abc: 7.939 7.939 6.448
angles: 96.05 96.05 129.86
Fractional positions:
Ba (0.865, 0.135, 0.500)
Ba (0.135, 0.865, 0.500)
Ba (0.500, 0.500, 0.500)
Pa (0.000, 0.000, 0.000)
O (0.295, 0.091, 0.203)
O (0.190, 0.190, 0.739)
O (0.909, 0.705, 0.797)
O (0.705, 0.909, 0.797)
O (0.091, 0.295, 0.203)
O (0.810, 0.810, 0.261)
Cs (0.678, 0.322, 0.000)
Cs (0.322, 0.678, 0.000)

Computed properties:
Its calculated volume is 25.18 A^3/atom. The value obtained for the calculated total energy is -76.033 eV/cell. The calculation puts the formation energy from raw total energies at -2.4427 eV/atom. The calculation puts the density of states at the Fermi level at 2.7 states/eV/cell.


no.,ρ (g/cm3)
1,5.94
2,8.48
3,4.58
4,7.98
5,11.52
6,9.87
7,10.85
8,2.68
9,6.01
10,4.89
11,9.25
12,5.02
13,7.49
14,6.51
15,2.96
16,3.67
17,10.15
18,2.62
19,2.12
20,5.52